TbPrEr4 | PBE | relaxed

a b c (Å): 6.5258 8.7373 8.5487
angles (deg): 111.78 101.20 111.51
Closest atoms and distances in Å follow each position.
Positions (direct):
Pr: 0.2595 0.0095 0.0189  2 Pr 3.27, 8 Er 3.30-3.56
Pr: 0.7405 0.9905 0.9811  2 Pr 3.27, 8 Er 3.30-3.56
Er: 0.6519 0.1098 0.3997  6 Er 3.28-3.63, 2 Pr 3.30-3.56, 1 Tb 3.60
Er: 0.8164 0.4284 0.2556  4 Er 3.28-3.63, 2 Pr 3.45-3.55, 2 Tb 3.49-3.54
Er: 0.3481 0.8902 0.6003  6 Er 3.28-3.63, 2 Pr 3.30-3.56, 1 Tb 3.60
Tb: 0.3362 0.5862 0.1724  8 Er 3.49-3.73
Tb: 0.6638 0.4138 0.8276  8 Er 3.49-3.73
Er: 0.9392 0.8272 0.2556  4 Er 3.28-3.63, 2 Pr 3.45-3.55, 2 Tb 3.49-3.54
Er: 0.7522 0.7101 0.6003  6 Er 3.28-3.63, 2 Pr 3.30-3.56, 1 Tb 3.60
Er: 0.0608 0.1728 0.7444  4 Er 3.28-3.63, 2 Pr 3.45-3.55, 2 Tb 3.49-3.54
Er: 0.2478 0.2899 0.3997  6 Er 3.28-3.63, 2 Pr 3.30-3.56, 1 Tb 3.60
Er: 0.1836 0.5716 0.7444  4 Er 3.28-3.63, 2 Pr 3.45-3.55, 2 Tb 3.49-3.54

Total magnetization   0.000 μB/atom
Volume   195 Å³/f.u.
Formation enthalpy at 0 K   0.97 eV per formula unit



YPuInPb | PBE | relaxed

a b c (Å): 5.4028 5.4028 5.4028
angles (deg): 60.00 60.00 60.00
Closest atoms and distances in Å follow each position.
Positions (direct):
Pb: 0.5000 0.5000 0.5000  4 Pu 3.31, 4 Y 3.31
Y: 0.7500 0.7500 0.7500  4 Pb 3.31, 4 In 3.31
Pu: 0.2500 0.2500 0.2500  4 In 3.31, 4 Pb 3.31
In: 0.0000 0.0000 0.0000  4 Y 3.31, 4 Pu 3.31

Total magnetization   1.551 μB/atom
Volume   112 Å³/f.u.
Formation enthalpy at 0 K   -1.05 eV per formula unit



ErScPdRu | PBE | relaxed

a b c (Å): 3.3510 3.3510 6.6275
angles (deg): 90.00 90.00 90.00
Closest atoms and distances in Å follow each position.
Positions (direct):
Er: 0.5000 0.5000 0.0981  4 Ru 2.91, 4 Pd 2.97, 1 Sc 3.18
Pd: 0.0000 0.0000 0.3690  4 Sc 2.89, 4 Er 2.97, 1 Ru 3.14
Ru: 0.0000 0.0000 0.8427  4 Sc 2.80, 4 Er 2.91
Sc: 0.5000 0.5000 0.6182  4 Ru 2.80, 4 Pd 2.89

Total magnetization   0.000 μB/atom
Volume   74 Å³/f.u.
Formation enthalpy at 0 K   -3.06 eV per formula unit



Mg3InGa | PBE | relaxed

a b c (Å): 5.3241 5.3241 5.3241
angles (deg): 90.00 90.00 90.00
Closest atoms and distances in Å follow each position.
Positions (direct):
In: 0.0000 0.0000 0.0000  6 Mg 2.66
Mg: 0.5000 0.0000 0.0000  2 In 2.66
Mg: 0.0000 0.5000 0.0000  2 In 2.66
Mg: 0.0000 0.0000 0.5000  2 In 2.66
Ga: 0.5000 0.5000 0.5000  12 Mg 3.76

Total magnetization   0.000 μB/atom
Volume   151 Å³/f.u.
Formation enthalpy at 0 K   1.98 eV per formula unit



KTa2Co | PBE | relaxed

a b c (Å): 4.5902 4.5902 4.5902
angles (deg): 60.00 60.00 60.00
Closest atoms and distances in Å follow each position.
Positions (direct):
Ta: 0.7500 0.7500 0.7500  4 K 2.81, 4 Co 2.81
K: 0.0000 0.0000 0.0000  8 Ta 2.81
Ta: 0.2500 0.2500 0.2500  4 Co 2.81, 4 K 2.81
Co: 0.5000 0.5000 0.5000  8 Ta 2.81

Total magnetization   0.000 μB/atom
Volume   68 Å³/f.u.
Formation enthalpy at 0 K   5.75 eV per formula unit



Ti4In2Co | PBE | relaxed

a b c (Å): 4.3981 4.3981 7.9203
angles (deg): 73.88 73.88 90.00
Closest atoms and distances in Å follow each position.
Positions (direct):
Ti: 0.1644 0.1644 0.6711  1 Co 2.40
Co: 0.0000 0.0000 0.0000  6 Ti 2.20-2.40
In: 0.3592 0.3592 0.2815  9 Ti 2.84-3.13
Ti: 0.0000 0.5000 0.0000  2 Co 2.20
In: 0.6408 0.6408 0.7185  9 Ti 2.84-3.13
Ti: 0.5000 0.0000 0.0000  2 Co 2.20
Ti: 0.8356 0.8356 0.3289  1 Co 2.40

Total magnetization   0.000 μB/atom
Volume   141 Å³/f.u.
Formation enthalpy at 0 K   1.21 eV per formula unit